No. 1
# Ho3Tm5Th3

A relaxed Ho3Tm5Th3 crystal (GGA-PBE, the Alexandria database).

Properties
Its density of states at the Fermi level is 1.691 states/eV per atom. The value obtained for the formation energy is 901 meV/atom. As for the relative energy among the computed polymorphs: 488 meV/atom.

Geometry as CIF:
```
data_Ho3Tm5Th3
_symmetry_space_group_name_H-M 'P -6 2 m'
_symmetry_Int_Tables_number 189
_symmetry_space_group_name_Hall 'P -6 -2'
_cell_length_a 9.6227
_cell_length_b 9.6227
_cell_length_c 5.2976
_cell_angle_alpha 90.00
_cell_angle_beta 90.00
_cell_angle_gamma 120.00
loop_
_atom_site_label
_atom_site_type_symbol
_atom_site_fract_x
_atom_site_fract_y
_atom_site_fract_z
Ho1 Ho 0.0000 0.5686 0.0000
Tm1 Tm 0.0000 0.3697 0.5000
Tm2 Tm 0.3333 0.6667 0.5000
Th1 Th 0.0000 0.7451 0.5000
```

=====

No. 2
# HoTm2Th

A relaxed HoTm2Th crystal (GGA-PBE, the Alexandria database).

Properties
Its density of states at the Fermi level is 1.334 states/eV per atom. The value obtained for the formation energy is 35 meV/atom. As for the relative energy among the computed polymorphs: 11 meV/atom.

Geometry as CIF:
```
data_HoTm2Th
_symmetry_space_group_name_H-M 'R 3 m'
_symmetry_Int_Tables_number 160
_symmetry_space_group_name_Hall 'R 3 -2"'
_cell_length_a 3.5323
_cell_length_b 3.5323
_cell_length_c 34.3620
_cell_angle_alpha 90.00
_cell_angle_beta 90.00
_cell_angle_gamma 120.00
loop_
_atom_site_label
_atom_site_type_symbol
_atom_site_fract_x
_atom_site_fract_y
_atom_site_fract_z
Ho1 Ho 0.0000 0.0000 0.0000
Tm1 Tm 0.0000 0.0000 0.4156
Tm2 Tm 0.0000 0.0000 0.5840
Th1 Th 0.0000 0.0000 0.1656
```

=====

No. 3
# Ho3TmTh5

A relaxed Ho3TmTh5 crystal (GGA-PBE, the Alexandria database).

Properties
Its density of states at the Fermi level is 1.795 states/eV per atom. The value obtained for the formation energy is 457 meV/atom.

Geometry as CIF:
```
data_Ho3TmTh5
_symmetry_space_group_name_H-M 'I 4/m c m'
_symmetry_Int_Tables_number 140
_symmetry_space_group_name_Hall '-I 4 2c'
_cell_length_a 9.2018
_cell_length_b 9.2018
_cell_length_c 14.1128
_cell_angle_alpha 90.00
_cell_angle_beta 90.00
_cell_angle_gamma 90.00
loop_
_atom_site_label
_atom_site_type_symbol
_atom_site_fract_x
_atom_site_fract_y
_atom_site_fract_z
Ho1 Ho 0.0000 0.0000 0.2500
Ho2 Ho 0.1039 0.3961 0.0000
Tm1 Tm 0.0000 0.5000 0.2500
Th1 Th 0.0000 0.0000 0.0000
Th2 Th 0.2085 0.2915 0.3724
```

=====

No. 4
# Ho3Tm2Th3

A relaxed Ho3Tm2Th3 crystal (GGA-PBE, the Alexandria database).

Properties
Its density of states at the Fermi level is 1.411 states/eV per atom. The value obtained for the formation energy is 34 meV/atom. As for the relative energy among the computed polymorphs: 0 meV/atom.

Geometry as CIF:
```
data_Ho3Tm2Th3
_symmetry_space_group_name_H-M 'P m m m'
_symmetry_Int_Tables_number 47
_cell_length_a 4.9924
_cell_length_b 4.9965
_cell_length_c 10.0398
_cell_angle_alpha 90.00
_cell_angle_beta 90.00
_cell_angle_gamma 90.00
loop_
_symmetry_equiv_pos_as_xyz
'x,y,z'
'-x,-y,-z'
'-x,-y,z'
'x,y,-z'
'x,-y,-z'
'-x,y,z'
'-x,y,-z'
'x,-y,z'
loop_
_atom_site_label
_atom_site_type_symbol
_atom_site_fract_x
_atom_site_fract_y
_atom_site_fract_z
Ho1 Ho 0.0000 0.0000 0.0000
Ho2 Ho 0.0000 0.0000 0.5000
Ho3 Ho 0.5000 0.5000 0.0000
Tm1 Tm 0.0000 0.5000 0.2508
Th1 Th 0.5000 0.0000 0.2494
Th2 Th 0.5000 0.5000 0.5000
```

=====

No. 5
# Ho8Tm4Th

A relaxed Ho8Tm4Th crystal (GGA-PBE, the Alexandria database).

Properties
Its density of states at the Fermi level is 1.242 states/eV per atom. The value obtained for the formation energy is 287 meV/atom.

Geometry as CIF:
```
data_Ho8Tm4Th
_symmetry_space_group_name_H-M 'R -3 m'
_symmetry_Int_Tables_number 166
_symmetry_space_group_name_Hall '-R 3 2"'
_cell_length_a 6.8129
_cell_length_b 6.8129
_cell_length_c 31.5347
_cell_angle_alpha 90.00
_cell_angle_beta 90.00
_cell_angle_gamma 120.00
loop_
_atom_site_label
_atom_site_type_symbol
_atom_site_fract_x
_atom_site_fract_y
_atom_site_fract_z
Ho1 Ho 0.0000 0.0000 0.2004
Ho2 Ho 0.0076 0.5038 0.7545
Tm1 Tm 0.0000 0.0000 0.0000
Tm2 Tm 0.0000 0.5000 0.0000
Th1 Th 0.0000 0.0000 0.5000
```

=====

No. 6
# Ho3Tm5Th2

A relaxed Ho3Tm5Th2 crystal (GGA-PBE, the Alexandria database).

Properties
Its density of states at the Fermi level is 1.549 states/eV per atom. The value obtained for the formation energy is 224 meV/atom.

Geometry as CIF:
```
data_Ho3Tm5Th2
_symmetry_space_group_name_H-M 'C 1 2/c 1'
_symmetry_Int_Tables_number 15
_cell_length_a 10.5346
_cell_length_b 16.3521
_cell_length_c 9.0664
_cell_angle_alpha 90.00
_cell_angle_beta 125.51
_cell_angle_gamma 90.00
loop_
_symmetry_equiv_pos_as_xyz
'x,y,z'
'-x,-y,-z'
'-x,y,-z+1/2'
'x,-y,z+1/2'
'x+1/2,y+1/2,z'
'-x+1/2,-y+1/2,-z'
'-x+1/2,y+1/2,-z+1/2'
'x+1/2,-y+1/2,z+1/2'
loop_
_atom_site_label
_atom_site_type_symbol
_atom_site_fract_x
_atom_site_fract_y
_atom_site_fract_z
Ho1 Ho 0.0000 0.2211 0.2500
Ho2 Ho 0.1486 0.1241 0.0463
Tm1 Tm 0.0000 0.0269 0.2500
Tm2 Tm 0.0000 0.2757 0.7500
Tm3 Tm 0.0000 0.4694 0.7500
Tm4 Tm 0.2470 0.1217 0.7493
Th1 Th 0.1393 0.3760 0.5294
```

=====

Number 1: calculated total energy -4.403 eV per atom. Number 2: calculated total energy -5.200 eV per atom. Number 3: calculated total energy -5.688 eV per atom. Number 4: calculated total energy -5.583 eV per atom. Number 5: calculated total energy -4.477 eV per atom. Number 6: calculated total energy -4.869 eV per atom.